# Er4Ga2N, optimized geometry, DFT PBE
data_Er4Ga2N
_cell_length_a 4.607
_cell_length_b 4.607
_cell_length_c 14.967
_cell_angle_alpha 90.00
_cell_angle_beta 90.00
_cell_angle_gamma 90.00
_space_group_name_H-M_alt 'I 4/m m m'
_space_group_IT_number 139
_space_group_name_Hall '-I 4 2'
loop_
_atom_site_label
_atom_site_type_symbol
_atom_site_fract_x
_atom_site_fract_y
_atom_site_fract_z
Er1 Er 0.000 0.000 0.169
Er2 Er 0.000 0.500 0.000
Ga1 Ga 0.000 0.000 0.367
N1 N 0.000 0.000 0.000
# energy relative to the elements, uncorrected	-5.7	eV per formula unit
# theoretical density	8.60	g/cm3
# DOS at the Fermi energy	0.632	states/eV per atom